Computed, not measured: crystalline ThMgScIn at its relaxed geometry at the PBE level of DFT.

```
ThMgScIn
1.0
5.268 0.000 0.000
2.634 4.562 0.000
2.634 1.521 4.301
In Sc Mg Th
1 1 1 1
Cartesian
7.902 4.562 3.226
5.268 3.042 2.151
2.634 1.521 1.075
0.000 0.000 0.000
```

The energy relative to the elements comes out at -149 meV per atom. The final energy is -4.670 eV/atom. As for the space-group type: No. 216.